RbTe3C | Alexandria | meta-GGA SCAN | single point on PBEsol structure; space-group type = No. 221; total energy = -27.87 eV/atom; formation energy without anion corrections = 0.645 eV/atom; calculated volume = 124.91 Å³ per cell
1.0
4.999 0.000 0.000
0.000 4.999 0.000
0.000 0.000 4.999
Rb Te C
1 3 1
Cartesian
2.499 2.499 2.499
0.000 0.000 2.499
0.000 2.499 0.000
2.499 0.000 0.000
0.000 0.000 0.000